[1]
Entry from Alexandria via LeMat-Bulk: a PBEsol-optimized structure of Nd3Sb4Pt7 (meta-GGA SCAN).

Calculated values
uncorrected formation energy = -1.04 eV per atom
calculated density = 13.33 g cm⁻³
E = -56.12 eV/atom

```
data_Nd3Sb4Pt7
_cell_length_a 4.277
_cell_length_b 8.512
_cell_length_c 8.542
_cell_angle_alpha 74.74
_cell_angle_beta 75.50
_cell_angle_gamma 75.45
_space_group_name_H-M_alt 'P 1'
_space_group_IT_number 1
loop_
_space_group_symop_operation_xyz
'x,y,z'
loop_
_atom_site_label
_atom_site_type_symbol
_atom_site_fract_x
_atom_site_fract_y
_atom_site_fract_z
Nd1 Nd 0.500 0.000 0.000
Nd2 Nd 0.173 0.339 0.314
Nd3 Nd 0.827 0.661 0.686
Sb1 Sb 0.361 0.869 0.409
Sb2 Sb 0.828 0.318 0.025
Sb3 Sb 0.172 0.682 0.975
Sb4 Sb 0.639 0.131 0.591
Pt1 Pt 0.169 0.934 0.727
Pt2 Pt 0.377 0.401 0.845
Pt3 Pt 0.500 0.500 0.500
Pt4 Pt 0.831 0.066 0.273
Pt5 Pt 0.015 0.293 0.678
Pt6 Pt 0.985 0.707 0.322
Pt7 Pt 0.623 0.599 0.155
```

***

[2]
Entry from Alexandria via LeMat-Bulk: a PBEsol-optimized structure of Mg3Ru2 (meta-GGA SCAN).

Calculated values
calculated density = 5.00 g cm⁻³
E = -16.74 eV/atom
excess energy over the best structure of this formula in the dataset = 0.3980 eV/atom

```
data_Mg3Ru2
_cell_length_a 4.471
_cell_length_b 4.471
_cell_length_c 5.281
_cell_angle_alpha 90.00
_cell_angle_beta 90.00
_cell_angle_gamma 120.00
_space_group_name_H-M_alt 'P 1'
_space_group_IT_number 1
loop_
_space_group_symop_operation_xyz
'x,y,z'
loop_
_atom_site_label
_atom_site_type_symbol
_atom_site_fract_x
_atom_site_fract_y
_atom_site_fract_z
Mg1 Mg 0.000 0.000 0.500
Mg2 Mg 0.333 0.667 0.890
Mg3 Mg 0.667 0.333 0.110
Ru1 Ru 0.333 0.667 0.416
Ru2 Ru 0.667 0.333 0.584
```

***

[3]
Entry from Alexandria via LeMat-Bulk: a PBEsol-optimized structure of VCr2Si6 (meta-GGA SCAN).

Calculated values
uncorrected formation energy = -0.35 eV per atom
calculated density = 5.03 g cm⁻³
E = -13.05 eV/atom

```
data_VCr2Si6
_cell_length_a 4.425
_cell_length_b 4.425
_cell_length_c 6.283
_cell_angle_alpha 90.00
_cell_angle_beta 90.00
_cell_angle_gamma 119.76
_space_group_name_H-M_alt 'P 1'
_space_group_IT_number 1
loop_
_space_group_symop_operation_xyz
'x,y,z'
loop_
_atom_site_label
_atom_site_type_symbol
_atom_site_fract_x
_atom_site_fract_y
_atom_site_fract_z
Cr1 Cr 0.500 0.000 0.664
Cr2 Cr 0.000 0.500 0.336
Si1 Si 0.165 0.835 0.000
Si2 Si 0.164 0.330 0.666
Si3 Si 0.670 0.836 0.334
Si4 Si 0.835 0.165 0.000
Si5 Si 0.836 0.670 0.666
Si6 Si 0.330 0.164 0.334
V1 V 0.500 0.500 0.000
```

***

[4]
Entry from Alexandria via LeMat-Bulk: a PBEsol-optimized structure of FeC5 (meta-GGA SCAN).

Calculated values
calculated density = 4.44 g cm⁻³
E = -10.58 eV/atom

```
data_FeC5
_cell_length_a 2.502
_cell_length_b 3.534
_cell_length_c 5.246
_cell_angle_alpha 92.45
_cell_angle_beta 90.00
_cell_angle_gamma 110.74
_space_group_name_H-M_alt 'P 1'
_space_group_IT_number 1
loop_
_space_group_symop_operation_xyz
'x,y,z'
loop_
_atom_site_label
_atom_site_type_symbol
_atom_site_fract_x
_atom_site_fract_y
_atom_site_fract_z
C1 C 0.042 0.085 0.922
C2 C 0.595 0.190 0.353
C3 C 0.196 0.393 0.471
C4 C 0.376 0.751 0.301
C5 C 0.193 0.385 0.752
Fe1 Fe 0.765 0.529 0.033
```

***

[5]
Entry from Alexandria via LeMat-Bulk: a PBEsol-optimized structure of Sb2Rh (meta-GGA SCAN).

Calculated values
uncorrected formation energy = -0.27 eV per atom
calculated density = 9.19 g cm⁻³
E = -36.36 eV/atom

```
data_Sb2Rh
_cell_length_a 3.926
_cell_length_b 5.630
_cell_length_c 6.403
_cell_angle_alpha 76.97
_cell_angle_beta 72.15
_cell_angle_gamma 69.59
_space_group_name_H-M_alt 'P 1'
_space_group_IT_number 1
loop_
_space_group_symop_operation_xyz
'x,y,z'
loop_
_atom_site_label
_atom_site_type_symbol
_atom_site_fract_x
_atom_site_fract_y
_atom_site_fract_z
Rh1 Rh 0.171 0.835 0.823
Rh2 Rh 0.829 0.165 0.177
Sb1 Sb 0.844 0.771 0.540
Sb2 Sb 0.595 0.695 0.115
Sb3 Sb 0.405 0.305 0.885
Sb4 Sb 0.156 0.229 0.460
```

***

[6]
Entry from Alexandria via LeMat-Bulk: a PBEsol-optimized structure of Ba3FeRh (meta-GGA SCAN).

Calculated values
calculated density = 6.30 g cm⁻³
E = -33.25 eV/atom

```
data_Ba3FeRh
_cell_length_a 5.320
_cell_length_b 5.320
_cell_length_c 5.320
_cell_angle_alpha 90.00
_cell_angle_beta 90.00
_cell_angle_gamma 90.00
_space_group_name_H-M_alt 'P 1'
_space_group_IT_number 1
loop_
_space_group_symop_operation_xyz
'x,y,z'
loop_
_atom_site_label
_atom_site_type_symbol
_atom_site_fract_x
_atom_site_fract_y
_atom_site_fract_z
Rh1 Rh 0.500 0.500 0.500
Ba1 Ba 0.000 0.500 0.000
Ba2 Ba 0.000 0.000 0.500
Ba3 Ba 0.500 0.000 0.000
Fe1 Fe 0.000 0.000 0.000
```

***

[7]
Entry from Alexandria via LeMat-Bulk: a PBEsol-optimized structure of MgMnMo2 (meta-GGA SCAN).

Calculated values
calculated density = 7.53 g cm⁻³
E = -23.03 eV/atom

```
data_MgMnMo2
_cell_length_a 3.700
_cell_length_b 3.700
_cell_length_c 5.090
_cell_angle_alpha 111.32
_cell_angle_beta 111.32
_cell_angle_gamma 90.00
_space_group_name_H-M_alt 'P 1'
_space_group_IT_number 1
loop_
_space_group_symop_operation_xyz
'x,y,z'
loop_
_atom_site_label
_atom_site_type_symbol
_atom_site_fract_x
_atom_site_fract_y
_atom_site_fract_z
Mg1 Mg 0.500 0.500 0.000
Mn1 Mn 0.000 0.000 0.000
Mo1 Mo 0.750 0.250 0.500
Mo2 Mo 0.250 0.750 0.500
```

***

[8]
Entry from Alexandria via LeMat-Bulk: a PBEsol-optimized structure of CdBPt3 (meta-GGA SCAN).

Calculated values
calculated density = 16.00 g cm⁻³
E = -50.09 eV/atom
excess energy over the best structure of this formula in the dataset = 0.0000 eV/atom

```
data_CdBPt3
_cell_length_a 5.640
_cell_length_b 5.640
_cell_length_c 6.252
_cell_angle_alpha 63.19
_cell_angle_beta 63.19
_cell_angle_gamma 60.00
_space_group_name_H-M_alt 'P 1'
_space_group_IT_number 1
loop_
_space_group_symop_operation_xyz
'x,y,z'
loop_
_atom_site_label
_atom_site_type_symbol
_atom_site_fract_x
_atom_site_fract_y
_atom_site_fract_z
B1 B 0.169 0.169 0.494
B2 B 0.831 0.831 0.506
Pt1 Pt 0.913 0.913 0.766
Pt2 Pt 0.913 0.408 0.766
Pt3 Pt 0.087 0.087 0.234
Pt4 Pt 0.408 0.913 0.766
Pt5 Pt 0.087 0.592 0.234
Pt6 Pt 0.592 0.087 0.234
Cd1 Cd 0.598 0.598 0.206
Cd2 Cd 0.402 0.402 0.794
```

***

[9]
Entry from Alexandria via LeMat-Bulk: a PBEsol-optimized structure of FeRe2Au (meta-GGA SCAN).

Calculated values
calculated density = 17.98 g cm⁻³
E = -56.92 eV/atom
excess energy over the best structure of this formula in the dataset = 0.2212 eV/atom

```
data_FeRe2Au
_cell_length_a 4.339
_cell_length_b 4.339
_cell_length_c 4.339
_cell_angle_alpha 60.00
_cell_angle_beta 60.00
_cell_angle_gamma 60.00
_space_group_name_H-M_alt 'P 1'
_space_group_IT_number 1
loop_
_space_group_symop_operation_xyz
'x,y,z'
loop_
_atom_site_label
_atom_site_type_symbol
_atom_site_fract_x
_atom_site_fract_y
_atom_site_fract_z
Au1 Au 0.500 0.500 0.500
Fe1 Fe 0.250 0.250 0.250
Re1 Re 0.000 0.000 0.000
Re2 Re 0.750 0.750 0.750
```

***

[10]
Entry from Alexandria via LeMat-Bulk: a PBEsol-optimized structure of KAuCl2 (meta-GGA SCAN).

Calculated values
uncorrected formation energy = -1.18 eV per atom
calculated density = 3.43 g cm⁻³
E = -24.54 eV/atom
excess energy over the best structure of this formula in the dataset = 0.0000 eV/atom

```
data_KAuCl2
_cell_length_a 4.941
_cell_length_b 4.941
_cell_length_c 7.586
_cell_angle_alpha 71.00
_cell_angle_beta 71.00
_cell_angle_gamma 60.00
_space_group_name_H-M_alt 'P 1'
_space_group_IT_number 1
loop_
_space_group_symop_operation_xyz
'x,y,z'
loop_
_atom_site_label
_atom_site_type_symbol
_atom_site_fract_x
_atom_site_fract_y
_atom_site_fract_z
K1 K 0.500 0.500 0.500
Au1 Au 0.000 0.000 0.000
Cl1 Cl 0.893 0.893 0.320
Cl2 Cl 0.107 0.107 0.680
```

***

[11]
Entry from Alexandria via LeMat-Bulk: a PBEsol-optimized structure of TaMnAl2 (meta-GGA SCAN).

Calculated values
calculated density = 8.18 g cm⁻³
E = -25.42 eV/atom
excess energy over the best structure of this formula in the dataset = 0.0000 eV/atom

```
data_TaMnAl2
_cell_length_a 3.870
_cell_length_b 3.870
_cell_length_c 3.929
_cell_angle_alpha 90.00
_cell_angle_beta 90.00
_cell_angle_gamma 90.00
_space_group_name_H-M_alt 'P 1'
_space_group_IT_number 1
loop_
_space_group_symop_operation_xyz
'x,y,z'
loop_
_atom_site_label
_atom_site_type_symbol
_atom_site_fract_x
_atom_site_fract_y
_atom_site_fract_z
Mn1 Mn 0.500 0.500 0.500
Al1 Al 0.000 0.500 0.000
Al2 Al 0.500 0.000 0.000
Ta1 Ta 0.000 0.000 0.500
```

***

[12]
Entry from Alexandria via LeMat-Bulk: a PBEsol-optimized structure of CsFeCl2 (meta-GGA SCAN).

Calculated values
uncorrected formation energy = -0.99 eV per atom
calculated density = 2.39 g cm⁻³
E = -18.96 eV/atom

```
data_CsFeCl2
_cell_length_a 5.621
_cell_length_b 5.621
_cell_length_c 7.340
_cell_angle_alpha 67.49
_cell_angle_beta 67.49
_cell_angle_gamma 60.00
_space_group_name_H-M_alt 'P 1'
_space_group_IT_number 1
loop_
_space_group_symop_operation_xyz
'x,y,z'
loop_
_atom_site_label
_atom_site_type_symbol
_atom_site_fract_x
_atom_site_fract_y
_atom_site_fract_z
Cs1 Cs 0.500 0.500 0.500
Fe1 Fe 0.000 0.000 0.000
Cl1 Cl 0.892 0.892 0.323
Cl2 Cl 0.108 0.108 0.677
```

***

[13]
Entry from Alexandria via LeMat-Bulk: a PBEsol-optimized structure of TaBeZnP2 (meta-GGA SCAN).

Calculated values
calculated density = 4.76 g cm⁻³
E = -20.11 eV/atom

```
data_TaBeZnP2
_cell_length_a 4.712
_cell_length_b 4.712
_cell_length_c 4.984
_cell_angle_alpha 90.00
_cell_angle_beta 90.00
_cell_angle_gamma 90.00
_space_group_name_H-M_alt 'P 1'
_space_group_IT_number 1
loop_
_space_group_symop_operation_xyz
'x,y,z'
loop_
_atom_site_label
_atom_site_type_symbol
_atom_site_fract_x
_atom_site_fract_y
_atom_site_fract_z
P1 P 0.000 0.500 0.000
P2 P 0.500 0.000 0.000
Zn1 Zn 0.000 0.000 0.500
Be1 Be 0.500 0.500 0.500
Ta1 Ta 0.000 0.000 0.000
```

***

[14]
Entry from Alexandria via LeMat-Bulk: a PBEsol-optimized structure of Fe3Co5 (meta-GGA SCAN).

Calculated values
calculated density = 8.89 g cm⁻³
E = -17.75 eV/atom

```
data_Fe3Co5
_cell_length_a 4.618
_cell_length_b 4.618
_cell_length_c 4.826
_cell_angle_alpha 100.10
_cell_angle_beta 100.10
_cell_angle_gamma 117.07
_space_group_name_H-M_alt 'P 1'
_space_group_IT_number 1
loop_
_space_group_symop_operation_xyz
'x,y,z'
loop_
_atom_site_label
_atom_site_type_symbol
_atom_site_fract_x
_atom_site_fract_y
_atom_site_fract_z
Co1 Co 0.993 0.007 0.000
Co2 Co 0.500 0.002 0.251
Co3 Co 0.003 0.997 0.500
Co4 Co 0.505 0.495 0.000
Co5 Co 0.998 0.500 0.749
Fe1 Fe 0.497 0.997 0.751
Fe2 Fe 0.003 0.503 0.249
Fe3 Fe 0.501 0.499 0.500
```

***

[15]
Entry from Alexandria via LeMat-Bulk: a PBEsol-optimized structure of Zn2AgPd2 (meta-GGA SCAN).

Calculated values
calculated density = 9.46 g cm⁻³
E = -24.90 eV/atom

```
data_Zn2AgPd2
_cell_length_a 3.576
_cell_length_b 3.576
_cell_length_c 6.694
_cell_angle_alpha 105.49
_cell_angle_beta 105.49
_cell_angle_gamma 90.00
_space_group_name_H-M_alt 'P 1'
_space_group_IT_number 1
loop_
_space_group_symop_operation_xyz
'x,y,z'
loop_
_atom_site_label
_atom_site_type_symbol
_atom_site_fract_x
_atom_site_fract_y
_atom_site_fract_z
Zn1 Zn 0.250 0.750 0.500
Zn2 Zn 0.750 0.250 0.500
Pd1 Pd 0.394 0.394 0.788
Pd2 Pd 0.606 0.606 0.212
Ag1 Ag 0.000 0.000 0.000
```

***

[16]
Entry from Alexandria via LeMat-Bulk: a PBEsol-optimized structure of Cd2Se (meta-GGA SCAN).

Calculated values
uncorrected formation energy = -0.17 eV per atom
calculated density = 7.24 g cm⁻³
E = -27.13 eV/atom
excess energy over the best structure of this formula in the dataset = 0.1464 eV/atom

```
data_Cd2Se
_cell_length_a 3.723
_cell_length_b 3.890
_cell_length_c 9.801
_cell_angle_alpha 90.00
_cell_angle_beta 100.95
_cell_angle_gamma 90.00
_space_group_name_H-M_alt 'P 1'
_space_group_IT_number 1
loop_
_space_group_symop_operation_xyz
'x,y,z'
loop_
_atom_site_label
_atom_site_type_symbol
_atom_site_fract_x
_atom_site_fract_y
_atom_site_fract_z
Cd1 Cd 0.439 0.250 0.877
Cd2 Cd 0.561 0.750 0.123
Cd3 Cd 0.716 0.250 0.433
Cd4 Cd 0.284 0.750 0.567
Se1 Se 0.097 0.250 0.193
Se2 Se 0.903 0.750 0.807
```

***

[17]
Entry from Alexandria via LeMat-Bulk: a PBEsol-optimized structure of LiTlHg (meta-GGA SCAN).

Calculated values
calculated density = 10.36 g cm⁻³
E = -47.85 eV/atom
excess energy over the best structure of this formula in the dataset = 0.0404 eV/atom

```
data_LiTlHg
_cell_length_a 3.375
_cell_length_b 4.752
_cell_length_c 4.752
_cell_angle_alpha 120.00
_cell_angle_beta 90.00
_cell_angle_gamma 90.00
_space_group_name_H-M_alt 'P 1'
_space_group_IT_number 1
loop_
_space_group_symop_operation_xyz
'x,y,z'
loop_
_atom_site_label
_atom_site_type_symbol
_atom_site_fract_x
_atom_site_fract_y
_atom_site_fract_z
Tl1 Tl 0.325 0.667 0.333
Hg1 Hg 0.955 0.000 0.000
Li1 Li 0.720 0.333 0.667
```

***

[18]
Entry from Alexandria via LeMat-Bulk: a PBEsol-optimized structure of Li2IBr (meta-GGA SCAN).

Calculated values
uncorrected formation energy = -1.52 eV per atom
calculated density = 3.29 g cm⁻³
E = -16.76 eV/atom
excess energy over the best structure of this formula in the dataset = 0.0000 eV/atom

```
data_Li2IBr
_cell_length_a 6.073
_cell_length_b 6.073
_cell_length_c 7.416
_cell_angle_alpha 114.17
_cell_angle_beta 114.17
_cell_angle_gamma 90.00
_space_group_name_H-M_alt 'P 1'
_space_group_IT_number 1
loop_
_space_group_symop_operation_xyz
'x,y,z'
loop_
_atom_site_label
_atom_site_type_symbol
_atom_site_fract_x
_atom_site_fract_y
_atom_site_fract_z
I1 I 0.250 0.750 0.500
I2 I 0.000 0.000 0.000
Br1 Br 0.750 0.250 0.500
Br2 Br 0.500 0.500 0.000
Li1 Li 0.844 0.375 0.250
Li2 Li 0.406 0.875 0.250
Li3 Li 0.625 0.594 0.750
Li4 Li 0.125 0.156 0.750
```

***

[19]
Entry from Alexandria via LeMat-Bulk: a PBEsol-optimized structure of LiTi3Se (meta-GGA SCAN).

Calculated values
uncorrected formation energy = 0.15 eV per atom
calculated density = 3.71 g cm⁻³
E = -13.96 eV/atom

```
data_LiTi3Se
_cell_length_a 4.681
_cell_length_b 4.681
_cell_length_c 4.681
_cell_angle_alpha 90.00
_cell_angle_beta 90.00
_cell_angle_gamma 90.00
_space_group_name_H-M_alt 'P 1'
_space_group_IT_number 1
loop_
_space_group_symop_operation_xyz
'x,y,z'
loop_
_atom_site_label
_atom_site_type_symbol
_atom_site_fract_x
_atom_site_fract_y
_atom_site_fract_z
Li1 Li 0.500 0.500 0.500
Se1 Se 0.000 0.000 0.000
Ti1 Ti 0.000 0.500 0.000
Ti2 Ti 0.000 0.000 0.500
Ti3 Ti 0.500 0.000 0.000
```

***

[20]
Entry from Alexandria via LeMat-Bulk: a PBEsol-optimized structure of Ag2SnIO (meta-GGA SCAN).

Calculated values
uncorrected formation energy = 0.01 eV per atom
calculated density = 7.63 g cm⁻³
E = -28.31 eV/atom

```
data_Ag2SnIO
_cell_length_a 4.650
_cell_length_b 4.650
_cell_length_c 4.805
_cell_angle_alpha 90.00
_cell_angle_beta 90.00
_cell_angle_gamma 90.00
_space_group_name_H-M_alt 'P 1'
_space_group_IT_number 1
loop_
_space_group_symop_operation_xyz
'x,y,z'
loop_
_atom_site_label
_atom_site_type_symbol
_atom_site_fract_x
_atom_site_fract_y
_atom_site_fract_z
I1 I 0.500 0.500 0.500
O1 O 0.000 0.000 0.000
Sn1 Sn 0.000 0.000 0.500
Ag1 Ag 0.000 0.500 0.000
Ag2 Ag 0.500 0.000 0.000
```